Below is a relaxed Sc3Cd2 crystal, with properties calculated at the GGA-PBE level.

Structure (POSCAR):
```
Sc3Cd2
1.0
1.662 0.960 12.365
-1.662 0.960 12.365
0.000 -1.920 12.365
Sc Cd
3 2
direct
0.000 0.000 0.000
0.202 0.202 0.202
0.798 0.798 0.798
0.399 0.399 0.399
0.601 0.601 0.601
```

## Properties
DFT formation energy = -0.104 eV per atom
Calculated volume = 23.67 Å³/atom
Space group = No. 166
Fermi-level density of states = 0.823 states/eV per atom